1.
Compound: Re3Os
Source: Alexandria
Functional: GGA-PBEsol
Structure: optimized geometry

Cell and atoms, written as extended XYZ:
```
4
Lattice="-2.642 -0.705 -0.310 0.964 -4.127 1.163 -0.828 1.094 4.568" Properties=species:S:1:pos:R:3 pbc="T T T"
Re 0.206 -1.698 2.106
Re -1.737 0.196 2.135
Re -1.530 -1.504 4.235
Os -0.826 1.091 4.557
```

SG: Pmm2, No. 25
Energy relative to the elements in eV per atom: -0.059



2.
Compound: Li3TiRe
Source: Alexandria
Functional: GGA-PBEsol
Structure: optimized geometry

Cell and atoms, written as extended XYZ:
```
5
Lattice="4.528 0.000 0.000 0.000 4.528 0.000 0.000 0.000 4.528" Properties=species:S:1:pos:R:3 pbc="T T T"
Ti 2.264 2.264 2.264
Li 2.264 0.000 0.000
Li 0.000 2.264 0.000
Li 0.000 0.000 2.264
Re 0.000 0.000 0.000
```

SG: Pm-3m, No. 221
Energy relative to the elements in eV per atom: 1.631



Question: Look up the energy relative to the elements of the first one.
Answer: -0.059 eV per atom



Question: Among the records above, which one has the highest energy relative to the elements?
Answer: Li3TiRe



Repeat the second record exactly.
Compound: Li3TiRe
Source: Alexandria
Functional: GGA-PBEsol
Structure: optimized geometry

Cell and atoms, written as extended XYZ:
```
5
Lattice="4.528 0.000 0.000 0.000 4.528 0.000 0.000 0.000 4.528" Properties=species:S:1:pos:R:3 pbc="T T T"
Ti 2.264 2.264 2.264
Li 2.264 0.000 0.000
Li 0.000 2.264 0.000
Li 0.000 0.000 2.264
Re 0.000 0.000 0.000
```

SG: Pm-3m, No. 221
Energy relative to the elements in eV per atom: 1.631